# 1
Below is crystalline SrMg6Cd at its relaxed geometry, with properties calculated at the GGA-PBE level.

Unit cell a=7.083 b=7.083 c=5.190 alpha=90.00 beta=90.00 gamma=126.15
Sites, in units of the cell vectors:
Cd 0.365 0.635 0.500
Mg 0.680 0.824 0.000
Mg 0.827 0.689 0.500
Mg 0.311 0.173 0.500
Mg 0.194 0.806 0.000
Mg 0.176 0.320 0.000
Mg 0.641 0.359 0.000
Sr 0.808 0.192 0.500

Results
- DFT formation energy (eV/atom) = 0.00
- relative energy among the computed polymorphs (meV/atom) = 3
- Fermi-level density of states (states/eV/f.u.) = 2.912



# 2
Below is crystalline SrMgCd2 at its relaxed geometry, with properties calculated at the GGA-PBE level.

Unit cell a=3.924 b=3.924 c=7.373 alpha=90.00 beta=90.00 gamma=90.00
Sites, in units of the cell vectors:
Cd 0.000 0.000 0.036
Cd 0.500 0.500 0.259
Mg 0.000 0.000 0.444
Sr 0.500 0.500 0.761

Results
- DFT formation energy (eV/atom) = -0.13
- Fermi-level density of states (states/eV/f.u.) = 1.892



# 3
Below is crystalline SrMgCd2 at its relaxed geometry, with properties calculated at the GGA-PBE level.

Unit cell a=5.172 b=5.172 c=10.694 alpha=76.01 beta=76.01 gamma=90.00
Sites, in units of the cell vectors:
Cd 0.496 0.125 0.250
Cd 0.875 0.746 0.750
Cd 0.375 0.504 0.750
Cd 0.254 0.625 0.250
Mg 0.500 0.500 0.000
Mg 0.250 0.750 0.500
Sr 0.000 0.000 0.000
Sr 0.750 0.250 0.500

Results
- DFT formation energy (eV/atom) = 0.00
- Fermi-level density of states (states/eV/f.u.) = 2.936



# 4
Below is crystalline Sr4Mg3Cd2 at its relaxed geometry, with properties calculated at the GGA-PBE level.

Unit cell a=4.618 b=8.123 c=9.230 alpha=106.78 beta=104.49 gamma=90.00
Sites, in units of the cell vectors:
Mg 0.911 0.792 0.822
Mg 0.000 0.500 0.000
Mg 0.089 0.208 0.178
Cd 0.397 0.544 0.793
Cd 0.603 0.456 0.207
Sr 0.235 0.704 0.471
Sr 0.422 0.137 0.845
Sr 0.578 0.863 0.155
Sr 0.765 0.296 0.529

Results
- DFT formation energy (eV/atom) = -0.14
- Fermi-level density of states (states/eV/f.u.) = 8.215



# 5
Below is crystalline SrMg6Cd6 at its relaxed geometry, with properties calculated at the GGA-PBE level.

Unit cell a=6.043 b=7.760 c=7.760 alpha=79.85 beta=67.09 gamma=67.09
Sites, in units of the cell vectors:
Mg 0.000 0.500 0.000
Mg 0.500 0.774 0.226
Mg 0.000 0.000 0.500
Mg 0.500 0.500 0.000
Mg 0.500 0.226 0.774
Mg 0.500 0.000 0.500
Cd 0.000 0.652 0.348
Cd 0.295 0.205 0.205
Cd 0.649 0.351 0.351
Cd 0.000 0.348 0.652
Cd 0.705 0.795 0.795
Cd 0.351 0.649 0.649
Sr 0.000 0.000 0.000

Results
- DFT formation energy (eV/atom) = -0.15
- relative energy among the computed polymorphs (meV/atom) = 3
- Fermi-level density of states (states/eV/f.u.) = 5.128



# 6
Below is crystalline SrMgCd2 at its relaxed geometry, with properties calculated at the GGA-PBE level.

Unit cell a=7.115 b=7.115 c=7.115 alpha=150.11 beta=55.79 gamma=134.05
Sites, in units of the cell vectors:
Mg 0.000 0.000 0.000
Sr 0.500 0.000 0.500
Cd 0.225 0.000 0.225
Cd 0.775 0.000 0.775

Results
- DFT formation energy (eV/atom) = 0.17
- Fermi-level density of states (states/eV/f.u.) = 2.856



# 7
Below is crystalline Sr2MgCd at its relaxed geometry, with properties calculated at the GGA-PBE level.

Unit cell a=9.242 b=9.242 c=7.524 alpha=52.11 beta=52.11 gamma=90.00
Sites, in units of the cell vectors:
Mg 0.500 0.500 0.000
Mg 0.250 0.750 0.500
Cd 0.750 0.250 0.500
Cd 0.000 0.000 0.000
Sr 0.375 0.356 0.750
Sr 0.106 0.625 0.250
Sr 0.644 0.125 0.250
Sr 0.875 0.894 0.750

Results
- DFT formation energy (eV/atom) = 0.09
- relative energy among the computed polymorphs (meV/atom) = 284
- Fermi-level density of states (states/eV/f.u.) = 2.408



# 8
Below is crystalline Sr4Mg3Cd at its relaxed geometry, with properties calculated at the GGA-PBE level.

Unit cell a=4.081 b=4.081 c=17.139 alpha=90.00 beta=90.00 gamma=90.00
Sites, in units of the cell vectors:
Sr 0.000 0.000 0.883
Sr 0.000 0.000 0.117
Sr 0.000 0.000 0.627
Sr 0.000 0.000 0.373
Mg 0.500 0.500 0.247
Mg 0.500 0.500 0.500
Mg 0.500 0.500 0.753
Cd 0.500 0.500 0.000

Results
- DFT formation energy (eV/atom) = -0.12
- Fermi-level density of states (states/eV/f.u.) = 7.992



# 9
Below is crystalline SrMgCd at its relaxed geometry, with properties calculated at the GGA-PBE level.

Unit cell a=6.437 b=6.436 c=3.963 alpha=72.07 beta=72.06 gamma=35.86
Sites, in units of the cell vectors:
Cd 0.975 0.975 0.025
Mg 0.362 0.362 0.638
Sr 0.663 0.663 0.337

Results
- DFT formation energy (eV/atom) = -0.17
- Fermi-level density of states (states/eV/f.u.) = 1.780



# 10
Below is crystalline SrMg5Cd7 at its relaxed geometry, with properties calculated at the GGA-PBE level.

Unit cell a=6.056 b=7.739 c=7.739 alpha=82.03 beta=66.97 gamma=66.97
Sites, in units of the cell vectors:
Cd 0.344 0.656 0.656
Cd 0.282 0.218 0.218
Cd 0.647 0.353 0.353
Cd 0.504 0.784 0.209
Cd 0.998 0.652 0.353
Cd 0.504 0.209 0.784
Cd 0.998 0.353 0.652
Mg 0.724 0.776 0.776
Mg 0.499 0.003 0.496
Mg 0.002 0.496 0.003
Mg 0.002 0.003 0.496
Mg 0.499 0.496 0.003
Sr 0.998 0.002 0.002

Results
- DFT formation energy (eV/atom) = -0.16
- Fermi-level density of states (states/eV/f.u.) = 5.396



# 11
Below is crystalline Sr3Mg2Cd at its relaxed geometry, with properties calculated at the GGA-PBE level.

Unit cell a=4.149 b=4.149 c=12.342 alpha=90.00 beta=90.00 gamma=90.00
Sites, in units of the cell vectors:
Mg 0.500 0.500 0.832
Mg 0.500 0.500 0.168
Cd 0.500 0.500 0.500
Sr 0.000 0.000 0.659
Sr 0.000 0.000 0.000
Sr 0.000 0.000 0.341

Results
- DFT formation energy (eV/atom) = -0.15
- relative energy among the computed polymorphs (meV/atom) = 3
- Fermi-level density of states (states/eV/f.u.) = 5.566



# 12
Below is crystalline Sr6MgCd2 at its relaxed geometry, with properties calculated at the GGA-PBE level.

Unit cell a=9.996 b=9.996 c=9.996 alpha=105.04 beta=111.58 gamma=111.88
Sites, in units of the cell vectors:
Cd 0.500 0.377 0.877
Cd 0.342 0.000 0.342
Cd 0.500 0.623 0.123
Cd 0.658 0.000 0.658
Sr 0.804 0.247 0.050
Sr 0.196 0.753 0.950
Sr 0.298 0.628 0.330
Sr 0.905 0.722 0.183
Sr 0.196 0.247 0.443
Sr 0.804 0.753 0.557
Sr 0.298 0.969 0.670
Sr 0.702 0.031 0.330
Sr 0.461 0.278 0.183
Sr 0.095 0.278 0.817
Sr 0.539 0.722 0.817
Sr 0.702 0.372 0.670
Mg 0.000 0.500 0.500
Mg 0.000 0.000 0.000

Results
- DFT formation energy (eV/atom) = -0.15
- Fermi-level density of states (states/eV/f.u.) = 11.855



# 13
Below is crystalline SrMg2Cd4 at its relaxed geometry, with properties calculated at the GGA-PBE level.

Unit cell a=5.951 b=6.146 c=6.146 alpha=76.44 beta=61.04 gamma=61.04
Sites, in units of the cell vectors:
Sr 0.000 0.000 0.000
Cd 0.693 0.615 0.000
Cd 0.307 0.385 0.000
Cd 0.693 0.000 0.615
Cd 0.307 0.000 0.385
Mg 0.750 0.500 0.500
Mg 0.250 0.500 0.500

Results
- DFT formation energy (eV/atom) = -0.23
- Fermi-level density of states (states/eV/f.u.) = 2.827



# 14
Below is crystalline Sr2MgCd2 at its relaxed geometry, with properties calculated at the GGA-PBE level.

Unit cell a=4.812 b=6.874 c=11.010 alpha=82.28 beta=77.38 gamma=69.51
Sites, in units of the cell vectors:
Mg 0.778 0.072 0.371
Mg 0.222 0.928 0.629
Sr 0.691 0.729 0.889
Sr 0.309 0.271 0.111
Sr 0.496 0.335 0.674
Sr 0.504 0.665 0.326
Cd 0.867 0.703 0.563
Cd 0.987 0.144 0.883
Cd 0.013 0.856 0.117
Cd 0.133 0.297 0.437

Results
- DFT formation energy (eV/atom) = -0.26
- relative energy among the computed polymorphs (meV/atom) = 0
- Fermi-level density of states (states/eV/f.u.) = 4.019



# 15
Below is crystalline Sr5Mg2Cd at its relaxed geometry, with properties calculated at the GGA-PBE level.

Unit cell a=5.876 b=7.570 c=14.460 alpha=90.00 beta=90.00 gamma=90.00
Sites, in units of the cell vectors:
Sr 0.000 0.371 0.777
Sr 0.000 0.871 0.723
Sr 0.500 0.164 0.604
Sr 0.500 0.664 0.896
Sr 0.000 0.000 0.000
Sr 0.500 0.836 0.396
Sr 0.500 0.336 0.104
Sr 0.000 0.629 0.223
Sr 0.000 0.129 0.277
Sr 0.000 0.500 0.500
Mg 0.500 0.358 0.364
Mg 0.500 0.142 0.864
Mg 0.500 0.642 0.636
Mg 0.500 0.858 0.136
Cd 0.000 0.500 0.000
Cd 0.000 0.000 0.500

Results
- DFT formation energy (eV/atom) = -0.09
- Fermi-level density of states (states/eV/f.u.) = 9.382



# 16
Below is crystalline SrMgCd at its relaxed geometry, with properties calculated at the GGA-PBE level.

Unit cell a=4.759 b=4.759 c=8.965 alpha=105.39 beta=105.39 gamma=90.00
Sites, in units of the cell vectors:
Cd 0.887 0.887 0.773
Cd 0.113 0.113 0.227
Mg 0.500 0.000 0.000
Mg 0.000 0.500 0.000
Sr 0.671 0.671 0.342
Sr 0.329 0.329 0.658

Results
- DFT formation energy (eV/atom) = -0.24
- Fermi-level density of states (states/eV/f.u.) = 2.294



# 17
Below is crystalline Sr2Mg2Cd at its relaxed geometry, with properties calculated at the GGA-PBE level.

Unit cell a=4.184 b=4.184 c=10.567 alpha=78.58 beta=78.58 gamma=90.00
Sites, in units of the cell vectors:
Mg 0.250 0.750 0.500
Mg 0.750 0.250 0.500
Sr 0.597 0.597 0.806
Sr 0.403 0.403 0.194
Cd 0.000 0.000 0.000

Results
- DFT formation energy (eV/atom) = -0.02
- relative energy among the computed polymorphs (meV/atom) = 137
- Fermi-level density of states (states/eV/f.u.) = 2.906



# 18
Below is crystalline SrMg3Cd at its relaxed geometry, with properties calculated at the GGA-PBE level.

Unit cell a=5.364 b=5.364 c=5.364 alpha=90.00 beta=90.00 gamma=90.00
Sites, in units of the cell vectors:
Sr 0.500 0.500 0.500
Cd 0.000 0.000 0.000
Mg 0.500 0.000 0.000
Mg 0.000 0.000 0.500
Mg 0.000 0.500 0.000

Results
- DFT formation energy (eV/atom) = 0.07
- relative energy among the computed polymorphs (meV/atom) = 198
- Fermi-level density of states (states/eV/f.u.) = 3.372



# 19
Below is crystalline Sr8Mg2Cd at its relaxed geometry, with properties calculated at the GGA-PBE level.

Unit cell a=6.003 b=8.239 c=10.842 alpha=107.98 beta=106.07 gamma=90.00
Sites, in units of the cell vectors:
Sr 0.798 0.702 0.597
Sr 0.976 0.215 0.952
Sr 0.339 0.041 0.678
Sr 0.661 0.959 0.322
Sr 0.595 0.443 0.190
Sr 0.202 0.298 0.403
Sr 0.405 0.557 0.810
Sr 0.024 0.785 0.048
Cd 0.500 0.000 0.000
Mg 0.181 0.707 0.362
Mg 0.819 0.293 0.638

Results
- DFT formation energy (eV/atom) = -0.05
- relative energy among the computed polymorphs (meV/atom) = 0
- Fermi-level density of states (states/eV/f.u.) = 14.791



# 20
Below is crystalline Sr2MgCd2 at its relaxed geometry, with properties calculated at the GGA-PBE level.

Unit cell a=8.531 b=8.531 c=4.583 alpha=90.00 beta=90.00 gamma=90.00
Sites, in units of the cell vectors:
Mg 0.500 0.500 0.000
Mg 0.000 0.000 0.000
Cd 0.373 0.873 0.000
Cd 0.627 0.127 0.000
Cd 0.873 0.627 0.000
Cd 0.127 0.373 0.000
Sr 0.173 0.673 0.500
Sr 0.327 0.173 0.500
Sr 0.827 0.327 0.500
Sr 0.673 0.827 0.500

Results
- DFT formation energy (eV/atom) = -0.22
- relative energy among the computed polymorphs (meV/atom) = 36
- Fermi-level density of states (states/eV/f.u.) = 4.261



# 21
Below is crystalline Sr2Mg5Cd4 at its relaxed geometry, with properties calculated at the GGA-PBE level.

Unit cell a=6.203 b=7.578 c=7.584 alpha=77.94 beta=65.86 gamma=65.84
Sites, in units of the cell vectors:
Sr 0.711 0.289 0.289
Sr 0.289 0.711 0.711
Mg 0.247 0.193 0.807
Mg 0.753 0.807 0.193
Mg 0.000 0.500 0.500
Mg 0.752 0.193 0.807
Mg 0.248 0.807 0.193
Cd 0.754 0.907 0.585
Cd 0.246 0.414 0.093
Cd 0.246 0.093 0.415
Cd 0.754 0.586 0.907

Results
- DFT formation energy (eV/atom) = -0.16
- Fermi-level density of states (states/eV/f.u.) = 6.279



# 22
Below is crystalline SrMg9Cd3 at its relaxed geometry, with properties calculated at the GGA-PBE level.

Unit cell a=5.944 b=7.831 c=7.849 alpha=81.90 beta=67.75 gamma=68.16
Sites, in units of the cell vectors:
Mg 0.496 0.784 0.219
Mg 0.285 0.216 0.219
Mg 0.504 0.216 0.781
Mg 0.648 0.352 0.356
Mg 0.996 0.648 0.356
Mg 0.352 0.648 0.644
Mg 0.000 0.500 0.000
Mg 0.715 0.784 0.781
Mg 0.004 0.352 0.644
Cd 0.500 0.000 0.500
Cd 0.000 0.000 0.500
Cd 0.500 0.500 0.000
Sr 0.000 0.000 0.000

Results
- DFT formation energy (eV/atom) = -0.11
- Fermi-level density of states (states/eV/f.u.) = 5.192



# 23
Below is crystalline Sr2Mg2Cd15 at its relaxed geometry, with properties calculated at the GGA-PBE level.

Unit cell a=7.793 b=7.793 c=7.793 alpha=82.36 beta=82.36 gamma=82.36
Sites, in units of the cell vectors:
Cd 0.000 0.294 0.706
Cd 0.706 0.000 0.294
Cd 0.157 0.643 0.643
Cd 0.000 0.000 0.500
Cd 0.000 0.500 0.000
Cd 0.357 0.357 0.843
Cd 0.000 0.706 0.294
Cd 0.294 0.706 0.000
Cd 0.843 0.357 0.357
Cd 0.294 0.000 0.706
Cd 0.643 0.643 0.157
Cd 0.357 0.843 0.357
Cd 0.500 0.000 0.000
Cd 0.706 0.294 0.000
Cd 0.643 0.157 0.643
Mg 0.898 0.898 0.898
Mg 0.102 0.102 0.102
Sr 0.340 0.340 0.340
Sr 0.660 0.660 0.660

Results
- DFT formation energy (eV/atom) = -0.17
- Fermi-level density of states (states/eV/f.u.) = 7.274